(1)
Li9Mn7O16 | PBEsol | optimized geometry Values from VASP.

Structure (Quantum ESPRESSO input):
```
&SYSTEM
  ibrav = 0, nat = 32, ntyp = 3
/
ATOMIC_SPECIES
Li 6.94 Li.upf
Mn 54.94 Mn.upf
O 16.00 O.upf
ATOMIC_POSITIONS crystal
Li 0.000 0.000 0.000
Li 0.119 0.119 0.701
Li 0.124 0.124 0.188
Li 0.371 0.371 0.573
Li 0.383 0.383 0.047
Li 0.617 0.617 0.953
Li 0.629 0.629 0.427
Li 0.876 0.876 0.812
Li 0.881 0.881 0.299
Mn 0.000 0.000 0.500
Mn 0.249 0.249 0.875
Mn 0.256 0.256 0.376
Mn 0.494 0.494 0.763
Mn 0.506 0.506 0.237
Mn 0.744 0.744 0.624
Mn 0.751 0.751 0.125
O 0.054 0.054 0.837
O 0.061 0.061 0.332
O 0.186 0.186 0.543
O 0.191 0.191 0.047
O 0.304 0.304 0.702
O 0.311 0.311 0.203
O 0.442 0.442 0.889
O 0.452 0.452 0.396
O 0.548 0.548 0.604
O 0.558 0.558 0.111
O 0.689 0.689 0.797
O 0.696 0.696 0.298
O 0.809 0.809 0.953
O 0.814 0.814 0.457
O 0.939 0.939 0.668
O 0.946 0.946 0.163
CELL_PARAMETERS angstrom
9.637 -1.403 0.000
9.637 1.403 0.000
-1.683 0.000 10.362
```

Properties
formation energy without anion corrections = -1848 meV per atom
SG = C2/m
mass density = 4.17 g/cm³
energy = -229.167 eV per cell
magnetic moment = 25.88 μB/f.u.

(2)
Ba4Y2Cu6O13 | PBEsol | optimized geometry Values from VASP.

Structure (Quantum ESPRESSO input):
```
&SYSTEM
  ibrav = 0, nat = 25, ntyp = 4
/
ATOMIC_SPECIES
Ba 137.33 Ba.upf
Y 88.91 Y.upf
Cu 63.55 Cu.upf
O 16.00 O.upf
ATOMIC_POSITIONS crystal
Ba 0.146 0.663 0.854
Ba 0.337 0.854 0.663
Ba 0.663 0.146 0.337
Ba 0.854 0.337 0.146
Y 0.000 0.500 0.000
Y 0.500 0.000 0.500
Cu 0.070 0.567 0.433
Cu 0.242 0.758 0.242
Cu 0.433 0.930 0.070
Cu 0.567 0.070 0.930
Cu 0.758 0.242 0.758
Cu 0.930 0.433 0.567
O 0.000 0.000 0.000
O 0.188 0.188 0.812
O 0.190 0.190 0.310
O 0.195 0.652 0.348
O 0.310 0.310 0.190
O 0.310 0.310 0.690
O 0.348 0.805 0.195
O 0.652 0.195 0.805
O 0.690 0.690 0.310
O 0.690 0.690 0.810
O 0.805 0.348 0.652
O 0.810 0.810 0.690
O 0.812 0.812 0.188
CELL_PARAMETERS angstrom
0.000 3.869 11.732
3.808 0.000 11.732
3.808 3.869 0.000
```

Properties
formation energy without anion corrections = -1883 meV per atom
SG = Fmmm
mass density = 6.32 g/cm³
energy = -163.558 eV per cell
magnetic moment = 0.00 μB/f.u.

(3)
Li2BeAl | PBEsol | optimized geometry Values from VASP.

Structure (Quantum ESPRESSO input):
```
&SYSTEM
  ibrav = 0, nat = 4, ntyp = 3
/
ATOMIC_SPECIES
Li 6.94 Li.upf
Be 9.01 Be.upf
Al 26.98 Al.upf
ATOMIC_POSITIONS crystal
Li 0.000 0.000 0.000
Li 0.236 0.236 0.811
Be 0.731 0.731 0.323
Al 0.469 0.469 0.469
CELL_PARAMETERS angstrom
4.483 -1.409 0.000
4.483 1.409 0.000
-1.626 0.000 4.221
```

Properties
SG = Cm
mass density = 1.55 g/cm³
DFT formation energy = 0.06 eV/atom
energy = -11.779 eV per cell
magnetic moment = 0.00 μB/f.u.

(4)
Y4Co3 | PBEsol | optimized geometry Values from VASP.

Structure (Quantum ESPRESSO input):
```
&SYSTEM
  ibrav = 0, nat = 21, ntyp = 2
/
ATOMIC_SPECIES
Y 88.91 Y.upf
Co 58.93 Co.upf
ATOMIC_POSITIONS crystal
Y 0.027 0.780 0.250
Y 0.134 0.514 0.249
Y 0.220 0.247 0.250
Y 0.247 0.027 0.750
Y 0.380 0.866 0.249
Y 0.486 0.620 0.249
Y 0.514 0.380 0.751
Y 0.620 0.134 0.751
Y 0.753 0.973 0.250
Y 0.780 0.753 0.750
Y 0.866 0.486 0.751
Y 0.973 0.220 0.750
Co 0.000 0.000 0.000
Co 0.159 0.719 0.752
Co 0.281 0.440 0.752
Co 0.333 0.667 0.748
Co 0.440 0.159 0.248
Co 0.560 0.841 0.752
Co 0.667 0.333 0.252
Co 0.719 0.560 0.248
Co 0.841 0.281 0.248
CELL_PARAMETERS angstrom
11.087 0.000 0.000
-5.543 9.601 0.000
0.000 0.000 3.991
```

Properties
SG = P-3
mass density = 6.24 g/cm³
DFT formation energy = -0.15 eV/atom
energy = -154.645 eV per cell
magnetic moment = 0.00 μB/f.u.

(5)
K2GeS6O21 | PBEsol | optimized geometry Values from VASP.

Structure (Quantum ESPRESSO input):
```
&SYSTEM
  ibrav = 0, nat = 60, ntyp = 4
/
ATOMIC_SPECIES
K 39.10 K.upf
Ge 72.64 Ge.upf
S 32.06 S.upf
O 16.00 O.upf
ATOMIC_POSITIONS crystal
K 0.333 0.667 0.055
K 0.333 0.667 0.627
K 0.667 0.333 0.373
K 0.667 0.333 0.945
Ge 0.000 0.000 0.256
Ge 0.000 0.000 0.744
S 0.065 0.335 0.839
S 0.171 0.822 0.346
S 0.178 0.349 0.346
S 0.270 0.935 0.839
S 0.335 0.270 0.161
S 0.349 0.171 0.654
S 0.651 0.829 0.346
S 0.665 0.730 0.839
S 0.730 0.065 0.161
S 0.822 0.651 0.654
S 0.829 0.178 0.654
S 0.935 0.665 0.161
O 0.001 0.668 0.301
O 0.035 0.647 0.074
O 0.047 0.171 0.852
O 0.049 0.175 0.360
O 0.123 0.953 0.852
O 0.126 0.951 0.360
O 0.142 0.429 0.252
O 0.171 0.123 0.148
O 0.175 0.126 0.640
O 0.193 0.774 0.465
O 0.226 0.420 0.465
O 0.229 0.459 0.829
O 0.230 0.771 0.829
O 0.287 0.858 0.252
O 0.332 0.333 0.301
O 0.333 0.001 0.699
O 0.353 0.388 0.074
O 0.388 0.035 0.926
O 0.420 0.193 0.535
O 0.429 0.287 0.748
O 0.459 0.230 0.171
O 0.541 0.770 0.829
O 0.571 0.713 0.252
O 0.580 0.807 0.465
O 0.612 0.965 0.074
O 0.647 0.612 0.926
O 0.667 0.999 0.301
O 0.668 0.667 0.699
O 0.713 0.142 0.748
O 0.770 0.229 0.171
O 0.771 0.541 0.171
O 0.774 0.580 0.535
O 0.807 0.226 0.535
O 0.825 0.874 0.360
O 0.829 0.877 0.852
O 0.858 0.571 0.748
O 0.874 0.049 0.640
O 0.877 0.047 0.148
O 0.951 0.825 0.640
O 0.953 0.829 0.148
O 0.965 0.353 0.926
O 0.999 0.332 0.699
CELL_PARAMETERS angstrom
9.659 0.000 0.000
-4.829 8.365 0.000
0.000 0.000 10.895
```

Properties
formation energy without anion corrections = -1441 meV per atom
SG = P-3
mass density = 2.56 g/cm³
energy = -373.967 eV per cell
magnetic moment = 0.00 μB/f.u.

(6)
Sr2AlIn | PBEsol | optimized geometry Values from VASP.

Structure (Quantum ESPRESSO input):
```
&SYSTEM
  ibrav = 0, nat = 4, ntyp = 3
/
ATOMIC_SPECIES
Sr 87.62 Sr.upf
Al 26.98 Al.upf
In 114.82 In.upf
ATOMIC_POSITIONS crystal
Sr 0.000 0.000 0.000
Sr 0.500 0.300 0.300
Al 0.500 0.585 0.585
In 0.000 0.714 0.714
CELL_PARAMETERS angstrom
4.785 0.000 0.000
0.000 2.132 6.350
0.000 -2.132 6.350
```

Properties
SG = Amm2
mass density = 4.06 g/cm³
DFT formation energy = -0.30 eV/atom
energy = -11.936 eV per cell
magnetic moment = 0.00 μB/f.u.

(7)
IrC3 | PBEsol | optimized geometry Values from VASP.

Structure (Quantum ESPRESSO input):
```
&SYSTEM
  ibrav = 0, nat = 4, ntyp = 2
/
ATOMIC_SPECIES
Ir 192.22 Ir.upf
C 12.01 C.upf
ATOMIC_POSITIONS crystal
Ir 0.000 0.000 0.000
C 0.000 0.000 0.500
C 0.667 0.333 0.328
C 0.667 0.333 0.672
CELL_PARAMETERS angstrom
2.592 0.000 0.000
-1.296 2.244 0.000
0.000 0.000 5.693
```

Properties
SG = P-6m2
mass density = 11.44 g/cm³
DFT formation energy = 2.32 eV/atom
energy = -29.458 eV per cell
magnetic moment = 0.00 μB/f.u.

(8)
MnV4O12 | PBEsol | optimized geometry Values from VASP.

Structure (Quantum ESPRESSO input):
```
&SYSTEM
  ibrav = 0, nat = 17, ntyp = 3
/
ATOMIC_SPECIES
Mn 54.94 Mn.upf
V 50.94 V.upf
O 16.00 O.upf
ATOMIC_POSITIONS crystal
Mn 0.000 0.000 0.000
V 0.014 0.603 0.780
V 0.474 0.104 0.286
V 0.516 0.132 0.772
V 0.978 0.592 0.309
O 0.112 0.670 0.066
O 0.191 0.340 0.361
O 0.197 0.957 0.775
O 0.317 0.842 0.371
O 0.323 0.455 0.753
O 0.334 0.143 0.064
O 0.609 0.129 0.558
O 0.689 0.452 0.264
O 0.717 0.854 0.877
O 0.814 0.972 0.224
O 0.830 0.314 0.878
O 0.892 0.649 0.566
CELL_PARAMETERS angstrom
4.835 0.000 0.000
0.073 5.219 0.000
0.119 0.824 7.238
```

Properties
formation energy without anion corrections = -2107 meV per atom
SG = P1
mass density = 4.10 g/cm³
energy = -147.103 eV per cell
magnetic moment = 3.00 μB/f.u.